# 1
Tl2GeWO6 | GGA+U | optimized geometry

abc: 5.6325 5.6325 5.6398
angles: 60.03 60.03 89.97
Closest atoms and distances in Å follow each position.
Fractional positions:
Tl 0.7500 0.2500 0.5000  12 O 2.82
Tl 0.2500 0.7500 0.5000  12 O 2.82
O 0.7506 0.7506 0.0000  1 W 1.99, 1 Ge 2.00
O 0.2495 0.7505 0.0000  1 W 1.99, 1 Ge 1.99
O 0.2494 0.2494 0.0000  1 W 1.99, 1 Ge 2.00
O 0.7505 0.2495 0.0000  1 W 1.99, 1 Ge 1.99
O 0.7512 0.7512 0.4975  1 W 1.99, 1 Ge 2.01
O 0.2488 0.2488 0.5025  1 W 1.99, 1 Ge 2.01
Ge 0.5000 0.5000 0.0000  6 O 1.99-2.01
W 0.0000 0.0000 0.0000  6 O 1.99

Computed properties:
The calculation puts the total moment at 0.00 μB per atom. Its total energy is -5.903 eV per atom.

***

# 2
TlGeWO6 | GGA+U | optimized geometry

abc: 5.2160 5.2160 5.2855
angles: 90.00 90.00 60.00
Closest atoms and distances in Å follow each position.
Fractional positions:
O 0.6171 0.9956 0.2975  1 Ge 1.93, 1 W 1.96
O 0.3873 0.9956 0.7025  1 Ge 1.93, 1 W 1.96
O 0.3873 0.6171 0.2975  1 Ge 1.93, 1 W 1.96
O 0.9955 0.3873 0.2975  1 Ge 1.93, 1 W 1.96
O 0.6171 0.3873 0.7025  1 Ge 1.93, 1 W 1.96
O 0.9955 0.6171 0.7025  1 Ge 1.93, 1 W 1.96
Tl 0.0000 0.0000 0.0000  6 O 2.55
Ge 0.6666 0.6667 0.5000  6 O 1.93
W 0.3333 0.3333 0.5000  6 O 1.96

Computed properties:
The calculation puts the total moment at 0.00 μB per atom. Its total energy is -6.389 eV per atom.